[1]
Here is a relaxed structure of Ca4Np3FeN8 from Alexandria via LeMat-Bulk. Energies are from PBE.

Values from the calculation:
Final energy (eV/atom): -8.570
Size of the total moment (μB/cell): 29.831
Formation energy from raw total energies (meV per atom): -951
DOS at the Fermi energy (states/eV/cell): 56.58

a = 6.8090 Å, b = 6.8090 Å, c = 16.9420 Å
α = 90.00°, β = 90.00°, γ = 120.00°
Space group R-3m (No. 166, hexagonal axes)
Symmetry-distinct sites (fractional):
Ca1 0.0000 0.0000 0.0000 (multiplicity 3)
Ca2 0.0000 0.5000 0.0000 (multiplicity 9)
Np1 0.0000 0.5000 0.5000 (multiplicity 9)
Fe1 0.0000 0.0000 0.5000 (multiplicity 3)
N1 0.0000 0.0000 0.2408 (multiplicity 6)
N2 0.0142 0.5071 0.7622 (multiplicity 18)



[2]
Here is a relaxed structure of Hf2MgCu from Alexandria via LeMat-Bulk. Energies are from PBE.

Values from the calculation:
Final energy (eV/atom): -6.070
ΔH_f (0 K) (eV/atom): 0.33
Size of the total moment (μB/cell): 0.000
DOS at the Fermi energy (states/eV/cell): 12.28

a = 3.0249 Å, b = 3.0249 Å, c = 31.4093 Å
α = 90.00°, β = 90.00°, γ = 120.00°
Space group R-3m (No. 166, hexagonal axes)
Symmetry-distinct sites (fractional):
Hf1 0.0000 0.0000 0.0968 (multiplicity 6)
Mg1 0.0000 0.0000 0.0000 (multiplicity 3)
Cu1 0.0000 0.0000 0.5000 (multiplicity 3)



[3]
Here is a relaxed structure of Cs2ZrTe4 from Alexandria via LeMat-Bulk. Energies are from PBE.

Values from the calculation:
Final energy (eV/atom): -4.013
Size of the total moment (μB/cell): 0.000
Formation energy from raw total energies (meV per atom): -753
DOS at the Fermi energy (states/eV/cell): 1.63

a = 8.491 Å, b = 4.267 Å, c = 9.100 Å
α = 90.00°, β = 108.85°, γ = 90.00°
Space group P2/m (No. 10)
Symmetry-distinct sites (fractional):
Cs1 0.198 0.000 0.320 (multiplicity 2)
Zr1 0.500 0.500 0.000 (multiplicity 1)
Te1 0.133 0.500 0.925 (multiplicity 2)
Te2 0.411 0.000 0.768 (multiplicity 2)